Entry from the Open Quantum Materials Database: a relaxed Al2CoI6Br2 crystal (PBE).

abc: 13.073 10.721 6.587
angles: 90.00 96.32 90.00
Space group C2/m (No. 12)
Symmetry-distinct sites (fractional):
Al: 0.193 0.000 0.134 (multiplicity 4)
Co: 0.000 0.000 0.500 (multiplicity 2)
I: 0.094 0.181 0.285 (multiplicity 8)
I: 0.118 0.500 0.751 (multiplicity 4)
Br: 0.176 0.000 0.775 (multiplicity 4)

## Properties
energy: -3.033 eV/atom